The following is a DFT calculation (GGA-PBE) of an optimized crystal structure of K2LaH6.

Computed properties:
E_tot   -2.817 eV/atom
Space-group type   Fm-3m, No. 225

abc: 6.354 6.354 6.354
angles: 60.00 60.00 60.00
Sites, in units of the cell vectors:
H (0.255, 0.745, 0.255)
H (0.745, 0.255, 0.255)
H (0.255, 0.745, 0.745)
H (0.745, 0.255, 0.745)
H (0.745, 0.745, 0.255)
H (0.255, 0.255, 0.745)
K (0.750, 0.750, 0.750)
K (0.250, 0.250, 0.250)
La (0.000, 0.000, 0.000)